Record 1
Entry from the Alexandria database: an optimized crystal structure of Ho7Al2Te2 (GGA-PBE).

Summary:
The calculated volume is 29.2 Å³/atom. The value obtained for the uncorrected formation energy is -303 meV/atom.

a = 6.6682 Å, b = 6.6682 Å, c = 7.5567 Å
α = 90.00°, β = 90.00°, γ = 107.29°
Last column: nearest neighbours and their distance in Å.
Fractional coordinates of all 11 atoms:
1 Ho 0.0000 0.0000 0.0000  2 Te 3.05
2 Ho 0.0000 0.5000 0.2895  2 Te 2.97, 1 Ho 3.18, 2 Al 3.19
3 Ho 0.0000 0.5000 0.7105  2 Te 2.97, 1 Ho 3.18, 2 Al 3.19
4 Ho 0.5000 0.0000 0.2895  2 Te 2.97, 1 Ho 3.18, 2 Al 3.19
5 Ho 0.5000 0.0000 0.7105  2 Te 2.97, 1 Ho 3.18, 2 Al 3.19
6 Ho 0.5000 0.5000 0.2753  2 Te 3.12, 2 Al 3.12, 5 Ho 3.34-3.40
7 Ho 0.5000 0.5000 0.7247  2 Te 3.12, 2 Al 3.12, 5 Ho 3.34-3.40
8 Al 0.1691 0.1691 0.5000  1 Al 2.67
9 Al 0.8309 0.8309 0.5000  1 Al 2.67
10 Te 0.2841 0.7159 0.0000  7 Ho 2.97-3.12
11 Te 0.7159 0.2841 0.0000  7 Ho 2.97-3.12

---

Record 2
Entry from the Alexandria database: an optimized crystal structure of CsGa2HgRh (GGA-PBE).

Summary:
The calculated volume is 26.7 Å³/atom. The formation energy from the elements comes out at -0.28 eV/atom.

a = 4.9230 Å, b = 4.9230 Å, c = 5.5022 Å
α = 90.00°, β = 90.00°, γ = 90.00°
Last column: nearest neighbours and their distance in Å.
Fractional coordinates of all 5 atoms:
1 Cs 0.0000 0.0000 0.0000  4 Hg 3.48, 8 Ga 3.69
2 Ga 0.0000 0.5000 0.5000  2 Rh 2.46
3 Ga 0.5000 0.0000 0.5000  2 Rh 2.46
4 Hg 0.5000 0.5000 0.0000  2 Rh 2.75
5 Rh 0.5000 0.5000 0.5000  4 Ga 2.46, 2 Hg 2.75

---

Record 3
Entry from the Alexandria database: an optimized crystal structure of MnAl2W (GGA-PBE).

Summary:
For the energy above the most stable polymorph in this dataset, the calculation gives 0.123 eV per atom. The calculated volume is 14.2 Å³/atom. The formation energy from the elements comes out at -0.05 eV/atom.

a = 5.0004 Å, b = 5.0004 Å, c = 5.0004 Å
α = 143.66°, β = 129.34°, γ = 63.94°
Last column: nearest neighbours and their distance in Å.
Fractional coordinates of all 4 atoms:
1 Mn 0.0000 0.0000 0.0000  2 W 2.43, 6 Al 2.56-2.65
2 Al 0.4854 0.4854 0.0000  4 Mn 2.65, 4 W 2.74-2.92, 4 Al 2.80-2.87
3 Al 0.7602 0.2602 0.5000  2 Mn 2.56, 4 W 2.67, 4 Al 2.80-2.87
4 W 0.2201 0.7201 0.5000  2 Mn 2.43, 4 Al 2.67

---

Record 4
Entry from the Alexandria database: an optimized crystal structure of YB2As2 (GGA-PBE).

Summary:
For the energy above the most stable polymorph in this dataset, the calculation gives 0.008 eV per atom. The calculated volume is 15.8 Å³/atom. The formation energy from the elements comes out at 0.27 eV/atom.

a = 5.9637 Å, b = 5.9637 Å, c = 5.9637 Å
α = 142.27°, β = 142.27°, γ = 54.42°
Last column: nearest neighbours and their distance in Å.
Fractional coordinates of all 5 atoms:
1 Y 0.0000 0.0000 0.0000  8 B 2.84
2 B 0.4265 0.4265 0.0000  1 B 1.56
3 B 0.5735 0.5735 0.0000  1 B 1.56
4 As 0.2500 0.7500 0.5000  4 B 2.69, 4 As 2.73
5 As 0.7500 0.2500 0.5000  4 B 2.69, 4 As 2.73

---

Record 5
Entry from the Alexandria database: an optimized crystal structure of CeNiAsH (GGA-PBE).

Summary:
The calculated volume is 14.7 Å³/atom.

a = 4.1070 Å, b = 4.1070 Å, c = 4.0364 Å
α = 90.00°, β = 90.00°, γ = 120.00°
Last column: nearest neighbours and their distance in Å.
Fractional coordinates of all 4 atoms:
1 Ce 0.0000 0.0000 0.0000  3 H 2.38
2 Ni 0.6667 0.3333 0.5569  1 H 1.64
3 As 0.3333 0.6667 0.4742  3 Ni 2.39
4 H 0.6667 0.3333 0.9623  1 Ni 1.64

---

Record 6
Entry from the Alexandria database: an optimized crystal structure of Fe2SiSe (GGA-PBE).

Summary:
For the energy above the most stable polymorph in this dataset, the calculation gives 0.193 eV per atom. The calculated volume is 12.2 Å³/atom. The value obtained for the uncorrected formation energy is 155 meV/atom.

a = 4.1069 Å, b = 4.1069 Å, c = 4.1069 Å
α = 60.00°, β = 60.00°, γ = 60.00°
Last column: nearest neighbours and their distance in Å.
Fractional coordinates of all 4 atoms:
1 Fe 0.2500 0.2500 0.2500  4 Se 2.51, 4 Si 2.51
2 Fe 0.7500 0.7500 0.7500  4 Se 2.51, 4 Si 2.51
3 Si 0.0000 0.0000 0.0000  8 Fe 2.51
4 Se 0.5000 0.5000 0.5000  8 Fe 2.51

---

Record 7
Entry from the Alexandria database: an optimized crystal structure of Mn2InCl (GGA-PBE).

Summary:
For the energy above the most stable polymorph in this dataset, the calculation gives 0.626 eV per atom. The calculated volume is 21.0 Å³/atom. The value obtained for the uncorrected formation energy is 663 meV/atom.

a = 4.9127 Å, b = 4.9127 Å, c = 4.9127 Å
α = 60.00°, β = 60.00°, γ = 60.00°
Last column: nearest neighbours and their distance in Å.
Fractional coordinates of all 4 atoms:
1 Mn 0.0000 0.0000 0.0000  4 Cl 3.01, 4 Mn 3.01
2 Mn 0.2500 0.2500 0.2500  4 Mn 3.01, 4 In 3.01
3 In 0.5000 0.5000 0.5000  4 Mn 3.01, 4 Cl 3.01
4 Cl 0.7500 0.7500 0.7500  4 In 3.01, 4 Mn 3.01

---

Record 8
Entry from the Alexandria database: an optimized crystal structure of PmLuBe (GGA-PBE).

Summary:
The calculated volume is 24.1 Å³/atom. The formation energy from the elements comes out at 0.10 eV/atom.

a = 6.4998 Å, b = 6.4998 Å, c = 6.4998 Å
α = 149.06°, β = 149.06°, γ = 44.33°
Last column: nearest neighbours and their distance in Å.
Fractional coordinates of all 3 atoms:
1 Pm 0.0000 0.0000 0.0000  4 Be 3.05, 1 Lu 3.27
2 Lu 0.2718 0.2718 0.0000  4 Be 2.86
3 Be 0.6500 0.6500 0.0000  4 Lu 2.86, 4 Pm 3.05

---

Record 9
Entry from the Alexandria database: an optimized crystal structure of PmH5Pd4 (GGA-PBE).

Summary:
The calculated volume is 11.8 Å³/atom.

a = 7.2241 Å, b = 7.2241 Å, c = 4.5332 Å
α = 90.00°, β = 90.00°, γ = 90.00°
Last column: nearest neighbours and their distance in Å.
Fractional coordinates of all 20 atoms:
1 Pm 0.2500 0.2500 0.2073  4 H 2.41
2 Pm 0.7500 0.7500 0.7927  4 H 2.41
3 H 0.0890 0.0890 0.5972  2 Pd 1.71
4 H 0.0890 0.4110 0.5972  2 Pd 1.71
5 H 0.2500 0.7500 0.0000  4 Pd 1.80
6 H 0.4110 0.0890 0.5972  2 Pd 1.71
7 H 0.4110 0.4110 0.5972  2 Pd 1.71
8 H 0.5890 0.5890 0.4028  2 Pd 1.71
9 H 0.5890 0.9110 0.4028  2 Pd 1.71
10 H 0.7500 0.2500 0.0000  4 Pd 1.80
11 H 0.9110 0.5890 0.4028  2 Pd 1.71
12 H 0.9110 0.9110 0.4028  2 Pd 1.71
13 Pd 0.0531 0.7500 0.2439  3 H 1.71-1.80
14 Pd 0.2500 0.5531 0.7561  3 H 1.71-1.80
15 Pd 0.2500 0.9469 0.7561  3 H 1.71-1.80
16 Pd 0.4469 0.7500 0.2439  3 H 1.71-1.80
17 Pd 0.5531 0.2500 0.7561  3 H 1.71-1.80
18 Pd 0.7500 0.0531 0.2439  3 H 1.71-1.80
19 Pd 0.7500 0.4469 0.2439  3 H 1.71-1.80
20 Pd 0.9469 0.2500 0.7561  3 H 1.71-1.80

---

Record 10
Entry from the Alexandria database: an optimized crystal structure of La4PmY2 (GGA-PBE).

Summary:
For the energy above the most stable polymorph in this dataset, the calculation gives 0.149 eV per atom. The calculated volume is 35.7 Å³/atom. The formation energy from the elements comes out at 0.22 eV/atom.

a = 9.1451 Å, b = 9.1451 Å, c = 9.1451 Å
α = 134.85°, β = 100.94°, γ = 96.03°
Last column: nearest neighbours and their distance in Å.
Fractional coordinates of all 14 atoms:
1 La 0.1520 0.1507 0.0013  1 Y 3.33, 2 Pm 3.62, 3 La 3.69-3.72
2 La 0.2556 0.2218 0.4662  1 La 3.04, 1 Pm 3.14, 1 Y 3.25
3 La 0.2556 0.7894 0.0338  1 La 3.04, 1 Pm 3.14, 1 Y 3.25
4 La 0.3506 0.8493 0.5013  1 Y 3.33, 2 Pm 3.62, 3 La 3.69-3.72
5 La 0.6494 0.1507 0.4987  1 Y 3.33, 2 Pm 3.62, 3 La 3.69-3.72
6 La 0.7444 0.2106 0.9662  1 La 3.04, 1 Pm 3.14, 1 Y 3.25
7 La 0.7444 0.7782 0.5338  1 La 3.04, 1 Pm 3.14, 1 Y 3.25
8 La 0.8480 0.8493 0.9987  1 Y 3.33, 2 Pm 3.62, 3 La 3.69-3.72
9 Pm 0.0000 0.0000 0.5000  2 La 3.14, 2 Pm 3.51
10 Pm 0.0000 0.5000 0.0000  2 La 3.14, 2 Pm 3.51
11 Y 0.0000 0.5000 0.5000  4 La 3.53, 2 Y 3.93
12 Y 0.4655 0.7155 0.7500  4 La 3.25-3.33, 2 Y 3.61
13 Y 0.5000 0.5000 0.0000  4 La 3.53, 2 Y 3.93
14 Y 0.5345 0.2845 0.2500  4 La 3.25-3.33, 2 Y 3.61

---

Calculated electronic total energy (eV/atom), listed in the same order as above: -4.47 -3.19 -7.45 -5.55 -5.86 -6.30 -5.07 -4.23 -4.48 -5.12